# 1
The following is a DFT calculation (GGA-PBE) of Pm8Tm after structural relaxation.

The structure in POSCAR format:
```
Pm8Tm
1.0
5.1343 0.0000 0.0000
2.5671 7.7046 0.0000
2.5671 0.0000 7.7046
Pm Tm
8 1
Cartesian
2.5671 0.0000 2.5543 Pm
5.1343 0.0000 5.1503 Pm
5.1343 5.1503 0.0000 Pm
2.5671 5.1431 2.5615 Pm
5.1343 5.1431 5.1431 Pm
5.1343 2.5615 2.5615 Pm
2.5671 2.5615 5.1431 Pm
2.5671 2.5543 0.0000 Pm
0.0000 0.0000 0.0000 Tm
```

Values from the calculation:
Volume, Å³/cell: 304.8
Total energy, eV/atom: -4.704

=====

# 2
The following is a DFT calculation (GGA-PBE) of CaAuO3 after structural relaxation.

The structure in POSCAR format:
```
CaAuO3
1.0
-1.8333 -3.3647 1.4045
3.4575 -1.1053 1.8652
-1.1574 2.0278 3.3472
Ca Au O
1 1 3
Cartesian
0.2334 -1.2211 3.3084 Ca
0.0000 0.0000 0.0000 Au
1.7288 -0.5526 0.9326 O
-0.5787 1.0139 1.6736 O
-0.9166 -1.6824 0.7023 O
```

Values from the calculation:
Volume, Å³/cell: 68.0
Total energy, eV/atom: -4.914

=====

# 3
The following is a DFT calculation (GGA-PBE) of PuPaBi3 after structural relaxation.

The structure in POSCAR format:
```
PuPaBi3
1.0
-2.6890 -0.5474 -4.0566
2.4365 -6.2457 -0.7723
-7.4785 -3.5903 5.4416
Pu Pa Bi
2 2 6
Cartesian
-2.4574 -0.8080 -1.2184 Pu
-5.1473 -6.1788 4.2457 Pu
-4.5671 -2.1926 3.3232 Pa
-3.0376 -4.7942 -0.2960 Pa
-0.5134 -5.9265 1.1400 Bi
-4.6549 -7.3060 1.1149 Bi
-5.7952 -4.3827 1.4764 Bi
-1.8095 -2.6040 1.5508 Bi
-6.9659 -3.3442 5.0686 Bi
-0.6389 -3.6426 -2.0414 Bi
```

Values from the calculation:
Volume, Å³/cell: 327.9
Total energy, eV/atom: -7.188
Excess energy over the best structure of this formula in the dataset, eV per atom: 0.000

=====

Density of states at the Fermi level (states/eV per atom)
1.50, 0.19, 2.78